Record 1
DFT (GGA-PBE) results for crystalline Sm3Tc2Ge7 at its relaxed geometry.

Density: 7.7 g cm⁻³
DOS at the Fermi energy: 5.8 states/eV/f.u.
DFT formation energy: -0.51 eV/atom
M_tot: 0.00 μB/atom

Unit cell a=4.4253 b=4.3454 c=13.1781 alpha=90.00 beta=99.54 gamma=90.00
Fractional positions:
Sm 0.0000 0.0000 0.0000
Sm 0.3163 0.5000 0.6311
Sm 0.6837 0.5000 0.3689
Tc 0.1270 0.0000 0.2537
Tc 0.8730 0.0000 0.7463
Ge 0.0866 0.5000 0.1708
Ge 0.2207 0.0000 0.4415
Ge 0.4121 0.0000 0.8256
Ge 0.5000 0.5000 0.0000
Ge 0.5879 0.0000 0.1744
Ge 0.7793 0.0000 0.5585
Ge 0.9134 0.5000 0.8292

---

Record 2
DFT (GGA-PBE) results for crystalline Sm2Tc3Ge5 at its relaxed geometry.

Density: 8.5 g cm⁻³
DOS at the Fermi energy: 6.8 states/eV/f.u.
DFT formation energy: -0.50 eV/atom
M_tot: 0.04 μB/atom

Unit cell a=8.6419 b=8.6419 c=8.6419 alpha=109.55 beta=83.74 gamma=140.75
Fractional positions:
Sm 0.1362 0.2379 0.3741
Sm 0.3638 0.7379 0.1017
Sm 0.6362 0.2621 0.8983
Sm 0.8638 0.7621 0.6259
Tc 0.1498 0.9157 0.0655
Tc 0.2500 0.7500 0.5000
Tc 0.3502 0.4157 0.7659
Tc 0.6498 0.5843 0.2341
Tc 0.7500 0.2500 0.5000
Tc 0.8502 0.0843 0.9345
Ge 0.0440 0.7500 0.2940
Ge 0.0904 0.6829 0.7733
Ge 0.2500 0.2500 0.0000
Ge 0.4096 0.1829 0.5926
Ge 0.4560 0.7500 0.7060
Ge 0.5440 0.2500 0.2940
Ge 0.5904 0.8171 0.4074
Ge 0.7500 0.7500 0.0000
Ge 0.9096 0.3171 0.2267
Ge 0.9560 0.2500 0.7060

---

Record 3
DFT (GGA-PBE) results for crystalline SmTcGe at its relaxed geometry.

Density: 9.0 g cm⁻³
DOS at the Fermi energy: 3.9 states/eV/f.u.
DFT formation energy: -0.38 eV/atom
Distance to the lowest polymorph of the same formula: 86 meV per atom
M_tot: 0.00 μB/atom

Unit cell a=7.3117 b=7.3117 c=3.8581 alpha=90.00 beta=90.00 gamma=120.00
Fractional positions:
Sm 0.0000 0.3978 0.0000
Sm 0.3978 0.0000 0.0000
Sm 0.6022 0.6022 0.0000
Tc 0.0000 0.7559 0.5000
Tc 0.2441 0.2441 0.5000
Tc 0.7559 0.0000 0.5000
Ge 0.0000 0.0000 0.0000
Ge 0.3333 0.6667 0.5000
Ge 0.6667 0.3333 0.5000

---

Record 4
DFT (GGA-PBE) results for crystalline SmTc2Ge7 at its relaxed geometry.

Density: 6.5 g cm⁻³
DOS at the Fermi energy: 4.8 states/eV/f.u.
DFT formation energy: 0.02 eV/atom
M_tot: 0.00 μB/atom

Unit cell a=6.8399 b=6.8399 c=4.7718 alpha=90.00 beta=90.00 gamma=100.35
Fractional positions:
Sm 0.0000 0.0000 0.0000
Tc 0.2745 0.7255 0.5000
Tc 0.7255 0.2745 0.5000
Ge 0.1033 0.3361 0.5000
Ge 0.2943 0.7057 0.0000
Ge 0.3361 0.1033 0.5000
Ge 0.5000 0.5000 0.5000
Ge 0.6639 0.8967 0.5000
Ge 0.7057 0.2943 0.0000
Ge 0.8967 0.6639 0.5000

---

Record 5
DFT (GGA-PBE) results for crystalline SmTc2Ge3 at its relaxed geometry.

Density: 8.6 g cm⁻³
DOS at the Fermi energy: 4.7 states/eV/f.u.
DFT formation energy: -0.31 eV/atom
M_tot: 0.00 μB/atom

Unit cell a=6.1657 b=6.1657 c=5.8841 alpha=90.00 beta=90.00 gamma=77.40
Fractional positions:
Sm 0.1464 0.8536 0.7500
Sm 0.8536 0.1464 0.2500
Tc 0.2906 0.2906 0.0000
Tc 0.2906 0.2906 0.5000
Tc 0.7094 0.7094 0.0000
Tc 0.7094 0.7094 0.5000
Ge 0.0466 0.6233 0.2500
Ge 0.3767 0.9534 0.2500
Ge 0.4771 0.5229 0.2500
Ge 0.5229 0.4771 0.7500
Ge 0.6233 0.0466 0.7500
Ge 0.9534 0.3767 0.7500

---

Record 6
DFT (GGA-PBE) results for crystalline SmZnTcGe2 at its relaxed geometry.

Density: 8.2 g cm⁻³
DOS at the Fermi energy: 5.0 states/eV/f.u.
DFT formation energy: -0.36 eV/atom
M_tot: 0.00 μB/atom

Unit cell a=4.0496 b=4.0496 c=11.3074 alpha=90.00 beta=90.00 gamma=90.00
Fractional positions:
Sm 0.0000 0.0000 0.0000
Sm 0.5000 0.5000 0.5000
Zn 0.0000 0.5000 0.7500
Zn 0.5000 0.0000 0.2500
Tc 0.0000 0.5000 0.2500
Tc 0.5000 0.0000 0.7500
Ge 0.0000 0.0000 0.3845
Ge 0.0000 0.0000 0.6155
Ge 0.5000 0.5000 0.1155
Ge 0.5000 0.5000 0.8845